Entry from Alexandria via LeMat-Bulk: a geometry-optimized PmSmRhBr structure (GGA-PBE).

## Properties
The symmetry is R3m. The value obtained for the uncorrected energy is -5.6906 eV/atom. Its energy relative to the elements, uncorrected is -1.067 eV per atom. Its crystal system is trigonal. For the theoretical density, the calculation gives 7.03 g/cm3.

abc: 4.072 4.071 8.207
angles: 90.01 104.37 120.00
Sites, in units of the cell vectors:
Pm: 0.508 0.152 0.676
Sm: 0.100 0.948 0.063
Rh: 0.305 0.550 0.871
Br: 0.965 0.381 0.360